Cd2FeNO | Alexandria | GGA+U | optimized geometry; VASP energy = -3.426 eV per atom; N(E_F) = 0.8 states/eV/cell
1.0
5.035 0.000 0.000
0.000 5.035 0.000
0.000 0.000 3.498
Cd Fe N O
2 1 1 1
Cartesian
0.000 2.517 0.000 Cd
2.517 0.000 0.000 Cd
0.000 0.000 0.000 Fe
0.000 0.000 1.749 N
2.517 2.517 1.749 O